(1)
VASP calculation (PBE) on a relaxed ZnSb2W crystal.

Lattice parameters (Å, degrees): 8.260 8.260 8.260 24.67 24.67 24.67
Sites, in units of the cell vectors:
1 Zn 0.000 0.000 0.000
2 Sb 0.245 0.245 0.245
3 Sb 0.755 0.755 0.755
4 W 0.500 0.500 0.500

Summary:
- calculated volume (Å³/cell) = 86
- total energy (eV per atom) = -5.25
- E_form (uncorrected) (eV per atom) = 0.37

(2)
VASP calculation (PBE) on a relaxed ZnSbW3 crystal.

Lattice parameters (Å, degrees): 4.889 4.889 4.889 90.00 90.00 90.00
Sites, in units of the cell vectors:
1 Zn 0.000 0.000 0.000
2 Sb 0.500 0.500 0.500
3 W 0.000 0.500 0.500
4 W 0.500 0.000 0.500
5 W 0.500 0.500 0.000

Summary:
- calculated volume (Å³/cell) = 117
- energy relative to the lowest polymorph listed for this composition (meV/atom) = 705
- total energy (eV per atom) = -6.24
- E_form (uncorrected) (eV per atom) = 2.61

(3)
VASP calculation (PBE) on a relaxed ZnSb2W crystal.

Lattice parameters (Å, degrees): 3.270 3.424 7.810 90.00 101.47 90.00
Sites, in units of the cell vectors:
1 Zn 0.000 0.000 0.000
2 Sb 0.405 0.500 0.286
3 Sb 0.595 0.500 0.714
4 W 0.000 0.000 0.500

Summary:
- calculated volume (Å³/cell) = 86
- total energy (eV per atom) = -5.24
- E_form (uncorrected) (eV per atom) = 0.38

(4)
VASP calculation (PBE) on a relaxed ZnSb2W crystal.

Lattice parameters (Å, degrees): 5.602 5.602 5.602 136.80 136.80 62.74
Sites, in units of the cell vectors:
1 Zn 0.000 0.000 0.000
2 Sb 0.250 0.750 0.500
3 Sb 0.500 0.500 0.000
4 W 0.750 0.250 0.500

Summary:
- calculated volume (Å³/cell) = 81
- total energy (eV per atom) = -4.86
- E_form (uncorrected) (eV per atom) = 0.76

(5)
VASP calculation (PBE) on a relaxed ZrSbW2 crystal.

Lattice parameters (Å, degrees): 3.546 3.546 5.977 90.00 90.00 90.00
Sites, in units of the cell vectors:
1 Zr 0.000 0.000 0.000
2 Sb 0.000 0.000 0.500
3 W 0.500 0.500 0.256
4 W 0.500 0.500 0.744

Summary:
- calculated volume (Å³/cell) = 75
- total energy (eV per atom) = -9.34
- E_form (uncorrected) (eV per atom) = 0.31

(6)
VASP calculation (PBE) on a relaxed ZrSbW3 crystal.

Lattice parameters (Å, degrees): 4.881 4.881 4.881 90.00 90.00 90.00
Sites, in units of the cell vectors:
1 Zr 0.000 0.000 0.000
2 Sb 0.500 0.500 0.500
3 W 0.000 0.000 0.500
4 W 0.000 0.500 0.000
5 W 0.500 0.000 0.000

Summary:
- calculated volume (Å³/cell) = 116
- energy relative to the lowest polymorph listed for this composition (meV/atom) = 376
- total energy (eV per atom) = -7.85
- E_form (uncorrected) (eV per atom) = 2.46